First-principles (GGA-PBE) data for a relaxed Tb2Tm2CuPd4 crystal, as listed in Alexandria via LeMat-Bulk.

The value obtained for the density of states at the Fermi level is 13.499 states/eV per cell. The total DFT energy (no corrections) comes out at -0.1946 Ha/atom.

CIF file:
```
data_Tb2Tm2CuPd4
_chemical_formula_sum 'Tb4 Tm4 Cu2 Pd8'
_space_group_name_H-M_alt 'I 4/m m m'
_space_group_IT_number 139
_space_group_name_Hall '-I 4 2'
_cell_length_a 6.864
_cell_length_b 6.864
_cell_length_c 8.203
_cell_angle_alpha 90.00
_cell_angle_beta 90.00
_cell_angle_gamma 90.00
loop_
_atom_site_label
_atom_site_fract_x
_atom_site_fract_y
_atom_site_fract_z
_atom_site_occupancy
Tb1 0.000 0.000 0.197 1
Tm1 0.000 0.500 0.250 1
Cu1 0.000 0.000 0.500 1
Pd1 0.242 0.242 0.000 1
```

=====

First-principles (GGA-PBE) data for a relaxed Tb2Zn2Cu5Pd crystal, as listed in Alexandria via LeMat-Bulk.

The value obtained for the density of states at the Fermi level is 13.704 states/eV per cell. The total DFT energy (no corrections) comes out at -0.1429 Ha/atom.

CIF file:
```
data_Tb2Zn2Cu5Pd
_chemical_formula_sum 'Tb4 Zn4 Cu10 Pd2'
_space_group_name_H-M_alt 'P 4/m b m'
_space_group_IT_number 127
_space_group_name_Hall '-P 4 2ab'
_cell_length_a 9.564
_cell_length_b 9.564
_cell_length_c 3.614
_cell_angle_alpha 90.00
_cell_angle_beta 90.00
_cell_angle_gamma 90.00
loop_
_atom_site_label
_atom_site_fract_x
_atom_site_fract_y
_atom_site_fract_z
_atom_site_occupancy
Tb1 0.180 0.320 0.000 1
Zn1 0.118 0.618 0.000 1
Cu1 0.000 0.500 0.500 1
Cu2 0.047 0.803 0.500 1
Pd1 0.000 0.000 0.000 1
```

=====

First-principles (GGA-PBE) data for a relaxed Tb2Zn3Cu12Pd crystal, as listed in Alexandria via LeMat-Bulk.

The value obtained for the density of states at the Fermi level is 19.497 states/eV per cell. The total DFT energy (no corrections) comes out at -0.1340 Ha/atom.

CIF file:
```
data_Tb2Zn3Cu12Pd
_chemical_formula_sum 'Tb6 Zn9 Cu36 Pd3'
_space_group_name_H-M_alt 'R -3 m'
_space_group_IT_number 166
_space_group_name_Hall '-R 3 2"'
_cell_length_a 6.1276
_cell_length_b 6.1276
_cell_length_c 27.1740
_cell_angle_alpha 90.00
_cell_angle_beta 90.00
_cell_angle_gamma 120.00
loop_
_atom_site_label
_atom_site_fract_x
_atom_site_fract_y
_atom_site_fract_z
_atom_site_occupancy
Tb1 0.0000 0.0000 0.1467 1
Zn1 0.0000 0.5000 0.0000 1
Cu1 0.0232 0.5116 0.0973 1
Cu2 0.0747 0.5373 0.6182 1
Pd1 0.0000 0.0000 0.5000 1
```

=====

First-principles (GGA-PBE) data for a relaxed Tb2ZnCu2Pd5 crystal, as listed in Alexandria via LeMat-Bulk.

The value obtained for the density of states at the Fermi level is 6.506 states/eV per cell. The total DFT energy (no corrections) comes out at -0.1876 Ha/atom.

CIF file:
```
data_Tb2ZnCu2Pd5
_chemical_formula_sum 'Tb4 Zn2 Cu4 Pd10'
_space_group_name_H-M_alt 'P 4/m b m'
_space_group_IT_number 127
_space_group_name_Hall '-P 4 2ab'
_cell_length_a 9.388
_cell_length_b 9.388
_cell_length_c 3.875
_cell_angle_alpha 90.00
_cell_angle_beta 90.00
_cell_angle_gamma 90.00
loop_
_atom_site_label
_atom_site_fract_x
_atom_site_fract_y
_atom_site_fract_z
_atom_site_occupancy
Tb1 0.175 0.325 0.000 1
Zn1 0.000 0.000 0.000 1
Cu1 0.122 0.622 0.000 1
Pd1 0.000 0.500 0.500 1
Pd2 0.069 0.798 0.500 1
```

=====

First-principles (GGA-PBE) data for a relaxed TbZnCuPd crystal, as listed in Alexandria via LeMat-Bulk.

The value obtained for the density of states at the Fermi level is 3.909 states/eV per cell. The total DFT energy (no corrections) comes out at -0.1580 Ha/atom.

CIF file:
```
data_TbZnCuPd
_chemical_formula_sum 'Tb2 Zn2 Cu2 Pd2'
_space_group_name_H-M_alt 'C 1 m 1'
_space_group_IT_number 8
_space_group_name_Hall 'C -2y'
_cell_length_a 7.553
_cell_length_b 4.379
_cell_length_c 5.157
_cell_angle_alpha 90.00
_cell_angle_beta 119.50
_cell_angle_gamma 90.00
loop_
_atom_site_label
_atom_site_fract_x
_atom_site_fract_y
_atom_site_fract_z
_atom_site_occupancy
Tb1 0.000 0.000 0.000 1
Zn1 0.005 0.500 0.516 1
Cu1 0.210 0.000 0.631 1
Pd1 0.285 0.500 0.356 1
```

=====

First-principles (GGA-PBE) data for a relaxed Tb4ZnCu2Pd crystal, as listed in Alexandria via LeMat-Bulk.

The value obtained for the density of states at the Fermi level is 13.795 states/eV per cell. The total DFT energy (no corrections) comes out at -0.1681 Ha/atom.

CIF file:
```
data_Tb4ZnCu2Pd
_chemical_formula_sum 'Tb12 Zn3 Cu6 Pd3'
_space_group_name_H-M_alt 'R -3 m'
_space_group_IT_number 166
_space_group_name_Hall '-R 3 2"'
_cell_length_a 4.9766
_cell_length_b 4.9766
_cell_length_c 24.4639
_cell_angle_alpha 90.00
_cell_angle_beta 90.00
_cell_angle_gamma 120.00
loop_
_atom_site_label
_atom_site_fract_x
_atom_site_fract_y
_atom_site_fract_z
_atom_site_occupancy
Tb1 0.0000 0.0000 0.1233 1
Tb2 0.0000 0.0000 0.3736 1
Zn1 0.0000 0.0000 0.5000 1
Cu1 0.0000 0.0000 0.2452 1
Pd1 0.0000 0.0000 0.0000 1
```

=====

First-principles (GGA-PBE) data for a relaxed TbZn5Cu2Pd crystal, as listed in Alexandria via LeMat-Bulk.

The value obtained for the density of states at the Fermi level is 4.093 states/eV per cell. The total DFT energy (no corrections) comes out at -0.1039 Ha/atom.

CIF file:
```
data_TbZn5Cu2Pd
_chemical_formula_sum 'Tb1 Zn5 Cu2 Pd1'
_space_group_name_H-M_alt 'P 4/m m m'
_space_group_IT_number 123
_space_group_name_Hall '-P 4 2'
_cell_length_a 4.651
_cell_length_b 4.651
_cell_length_c 7.004
_cell_angle_alpha 90.00
_cell_angle_beta 90.00
_cell_angle_gamma 90.00
loop_
_atom_site_label
_atom_site_fract_x
_atom_site_fract_y
_atom_site_fract_z
_atom_site_occupancy
Tb1 0.000 0.000 0.000 1
Zn1 0.000 0.500 0.294 1
Zn2 0.500 0.500 0.000 1
Cu1 0.500 0.500 0.335 1
Pd1 0.000 0.000 0.500 1
```

=====

First-principles (GGA-PBE) data for a relaxed CuTcPd crystal, as listed in Alexandria via LeMat-Bulk.

The value obtained for the density of states at the Fermi level is 5.550 states/eV per cell. The value obtained for the relative energy among the computed polymorphs is 0 kJ/mol of formula units.

CIF file:
```
data_CuTcPd
_chemical_formula_sum 'Cu2 Tc2 Pd2'
_space_group_name_H-M_alt 'I 4 m m'
_space_group_IT_number 107
_space_group_name_Hall 'I 4 -2'
_cell_length_a 2.697
_cell_length_b 2.697
_cell_length_c 11.535
_cell_angle_alpha 90.00
_cell_angle_beta 90.00
_cell_angle_gamma 90.00
loop_
_atom_site_label
_atom_site_fract_x
_atom_site_fract_y
_atom_site_fract_z
_atom_site_occupancy
Cu1 0.000 0.000 0.000 1
Tc1 0.000 0.000 0.663 1
Pd1 0.000 0.000 0.333 1
```

=====

First-principles (GGA-PBE) data for a relaxed Cu2TcPd crystal, as listed in Alexandria via LeMat-Bulk.

The value obtained for the density of states at the Fermi level is 17.768 states/eV per cell. The value obtained for the relative energy among the computed polymorphs is 163 kJ/mol of formula units.

CIF file:
```
data_Cu2TcPd
_chemical_formula_sum 'Cu8 Tc4 Pd4'
_space_group_name_H-M_alt 'I -4 2 d'
_space_group_IT_number 122
_space_group_name_Hall 'I -4 2bw'
_cell_length_a 6.773
_cell_length_b 6.773
_cell_length_c 5.171
_cell_angle_alpha 90.00
_cell_angle_beta 90.00
_cell_angle_gamma 90.00
loop_
_atom_site_label
_atom_site_fract_x
_atom_site_fract_y
_atom_site_fract_z
_atom_site_occupancy
Cu1 0.245 0.250 0.125 1
Tc1 0.000 0.000 0.000 1
Pd1 0.000 0.000 0.500 1
```

=====

First-principles (GGA-PBE) data for a relaxed Cu4TcPd5 crystal, as listed in Alexandria via LeMat-Bulk.

The value obtained for the density of states at the Fermi level is 6.467 states/eV per cell. The total DFT energy (no corrections) comes out at -0.1964 Ha/atom.

CIF file:
```
data_Cu4TcPd5
_chemical_formula_sum 'Cu4 Tc1 Pd5'
_space_group_name_H-M_alt 'P 4/m m m'
_space_group_IT_number 123
_space_group_name_Hall '-P 4 2'
_cell_length_a 2.759
_cell_length_b 2.759
_cell_length_c 18.323
_cell_angle_alpha 90.00
_cell_angle_beta 90.00
_cell_angle_gamma 90.00
loop_
_atom_site_label
_atom_site_fract_x
_atom_site_fract_y
_atom_site_fract_z
_atom_site_occupancy
Cu1 0.000 0.000 0.098 1
Cu2 0.000 0.000 0.295 1
Tc1 0.000 0.000 0.500 1
Pd1 0.500 0.500 0.000 1
Pd2 0.500 0.500 0.197 1
Pd3 0.500 0.500 0.395 1
```

=====

First-principles (GGA-PBE) data for a relaxed CuTc3Pd crystal, as listed in Alexandria via LeMat-Bulk.

The value obtained for the density of states at the Fermi level is 9.384 states/eV per cell. The value obtained for the relative energy among the computed polymorphs is 0 kJ/mol of formula units.

CIF file:
```
data_CuTc3Pd
_chemical_formula_sum 'Cu1 Tc3 Pd1'
_space_group_name_H-M_alt 'P m -3 m'
_space_group_IT_number 221
_space_group_name_Hall '-P 4 2 3'
_cell_length_a 4.414
_cell_length_b 4.414
_cell_length_c 4.414
_cell_angle_alpha 90.00
_cell_angle_beta 90.00
_cell_angle_gamma 90.00
loop_
_atom_site_label
_atom_site_fract_x
_atom_site_fract_y
_atom_site_fract_z
_atom_site_occupancy
Cu1 0.000 0.000 0.000 1
Tc1 0.000 0.000 0.500 1
Pd1 0.500 0.500 0.500 1
```

=====

First-principles (GGA-PBE) data for a relaxed CuTc2Pd crystal, as listed in Alexandria via LeMat-Bulk.

The value obtained for the density of states at the Fermi level is 24.433 states/eV per cell. The value obtained for the relative energy among the computed polymorphs is 12 kJ/mol of formula units.

CIF file:
```
data_CuTc2Pd
_chemical_formula_sum 'Cu4 Tc8 Pd4'
_space_group_name_H-M_alt 'F m -3 m'
_space_group_IT_number 225
_space_group_name_Hall '-F 4 2 3'
_cell_length_a 6.122
_cell_length_b 6.122
_cell_length_c 6.122
_cell_angle_alpha 90.00
_cell_angle_beta 90.00
_cell_angle_gamma 90.00
loop_
_atom_site_label
_atom_site_fract_x
_atom_site_fract_y
_atom_site_fract_z
_atom_site_occupancy
Cu1 0.000 0.000 0.000 1
Tc1 0.250 0.250 0.250 1
Pd1 0.000 0.000 0.500 1
```